{
  "formula": "TbDyHo3",
  "functional": "PBE",
  "state": "optimized geometry",
  "lattice": [[-7.2173, 2.4693, -4.6709], [1.6370, -2.4146, -5.9657], [0.0101, -6.5180, -1.2848]],
  "species": ["Ho", "Ho", "Ho", "Ho", "Ho", "Ho", "Tb", "Tb", "Dy", "Dy"],
  "fractional_positions": [[0.0497, 0.9032, 0.5889], [0.4503, 0.7874, 0.7026], [0.8478, 0.4678, 0.8874], [0.9503, 0.4973, 0.4111], [0.5497, 0.6125, 0.2969], [0.1522, 0.9321, 0.1129], [0.2501, 0.3775, 0.1770], [0.7498, 0.0225, 0.8230], [0.3467, 0.3116, 0.7323], [0.6533, 0.0881, 0.2678]],
  "dos_ef_per_ev_atom": 1.2719,
  "space_group": "P-1, No. 2"
}



{
  "formula": "Tb6Dy2Ho3",
  "functional": "PBE",
  "state": "optimized geometry",
  "lattice": [[-4.3368, -1.5348, 0.9632], [1.8094, -3.5353, 2.5138], [0.9244, 12.0026, 11.8205]],
  "species": ["Ho", "Ho", "Ho", "Tb", "Tb", "Tb", "Tb", "Tb", "Tb", "Dy", "Dy"],
  "fractional_positions": [[0.0000, 0.0000, 0.0000], [0.1995, 0.1995, 0.3990], [0.8005, 0.8005, 0.6010], [0.8790, 0.3790, 0.7580], [0.6210, 0.1210, 0.2420], [0.6973, 0.6972, 0.3945], [0.1210, 0.6210, 0.2420], [0.3027, 0.3028, 0.6055], [0.3790, 0.8790, 0.7580], [0.5457, 0.5457, 0.0914], [0.4543, 0.4543, 0.9086]],
  "dos_ef_per_ev_atom": 1.4541,
  "space_group": "I4/mmm, No. 139"
}



{
  "formula": "Tb3Dy12Ho",
  "functional": "PBE",
  "state": "optimized geometry",
  "lattice": [[-4.7309, -0.1677, -1.6200], [1.6140, -1.1496, -4.5943], [-0.8722, -19.4476, 4.5598]],
  "species": ["Dy", "Dy", "Dy", "Dy", "Dy", "Dy", "Dy", "Dy", "Dy", "Dy", "Dy", "Dy", "Tb", "Tb", "Tb", "Ho"],
  "fractional_positions": [[0.5000, 0.0000, 0.3747], [0.5000, 0.5000, 0.7505], [0.5000, 0.0000, 0.1245], [0.5000, 0.5000, 0.2495], [0.5000, 0.0000, 0.8755], [0.0000, 0.5000, 0.3747], [0.0000, 0.5000, 0.6253], [0.5000, 0.5000, 0.0000], [0.0000, 0.5000, 0.1245], [0.0000, 0.5000, 0.8755], [0.5000, 0.5000, 0.5000], [0.5000, 0.0000, 0.6253], [0.0000, 0.0000, 0.5000], [0.0000, 0.0000, 0.2497], [0.0000, 0.0000, 0.7503], [0.0000, 0.0000, 0.0000]],
  "dos_ef_per_ev_atom": 1.3041,
  "space_group": "P4/mmm, No. 123"
}



{
  "formula": "TbDy2Ho3",
  "functional": "PBE",
  "state": "optimized geometry",
  "lattice": [[-0.4682, 4.6445, 3.0770], [-1.4970, -6.9935, 5.2615], [8.8355, 2.6908, -2.7171]],
  "species": ["Ho", "Ho", "Ho", "Ho", "Ho", "Ho", "Tb", "Tb", "Dy", "Dy", "Dy", "Dy"],
  "fractional_positions": [[0.2494, 0.4987, 0.5832], [0.6251, 0.2502, 0.6242], [0.0000, 0.9999, 0.6658], [0.0000, 0.0001, 0.3342], [0.3749, 0.7498, 0.3758], [0.7506, 0.5013, 0.4168], [0.8751, 0.7503, 0.8743], [0.1249, 0.2497, 0.1257], [0.5001, 0.0002, 0.1679], [0.7506, 0.5012, 0.0829], [0.2494, 0.4988, 0.9171], [0.4999, 0.9998, 0.8321]],
  "dos_ef_per_ev_atom": 1.7689,
  "space_group": "P-1, No. 2"
}



Record-wise energy of formation from the pure elements values, in meV per atom: 56 289 18 71
Record-wise ρ values, in g/cm3: 8.7 8.1 8.6 8.7